{
  "formula": "V2BrO",
  "functional": "PBE+U",
  "state": "relaxed",
  "lattice": [[0.000, 3.138, 3.138], [3.138, 0.000, 3.138], [3.138, 3.138, 0.000]],
  "species": ["V", "V", "Br", "O"],
  "frac_coords": [[0.250, 0.250, 0.250], [0.750, 0.750, 0.750], [0.000, 0.000, 0.000], [0.500, 0.500, 0.500]],
  "magnetic_moment_mub_per_fu": 7.000,
  "e_above_lowest_polymorph_ev_per_atom": 0.916,
  "energy_ev_per_atom": -4.989
}